Entry 1:
ZnGaGe2 | SCAN | PBEsol geometry Values from VASP.

Cell and atoms, written as Quantum ESPRESSO input:
```
&SYSTEM
  ibrav = 0, nat = 4, ntyp = 3
/
ATOMIC_SPECIES
Ge 72.64 Ge.upf
Zn 65.41 Zn.upf
Ga 69.72 Ga.upf
ATOMIC_POSITIONS angstrom
Ge -0.579 -0.126 2.764
Ge -1.738 -0.377 8.293
Zn 0.000 0.000 0.000
Ga -1.159 -0.251 5.529
CELL_PARAMETERS angstrom
-2.286 -2.322 3.271
1.825 -0.445 4.218
-1.857 2.265 3.569
```

* energy of formation from the pure elements: 0.308 eV per atom
* N(E_F): 1.755 states/eV per cell
* E_tot: -16.701 eV per atom


Entry 2:
HfGa2H | SCAN | PBEsol geometry Values from VASP.

Cell and atoms, written as Quantum ESPRESSO input:
```
&SYSTEM
  ibrav = 0, nat = 4, ntyp = 3
/
ATOMIC_SPECIES
H 1.01 H.upf
Hf 178.49 Hf.upf
Ga 69.72 Ga.upf
ATOMIC_POSITIONS angstrom
H 0.000 0.000 0.000
Hf 4.464 2.577 1.823
Ga 2.232 1.289 0.911
Ga 6.696 3.866 2.734
CELL_PARAMETERS angstrom
4.464 0.000 0.000
2.232 3.866 0.000
2.232 1.289 3.645
```

* N(E_F): 2.909 states/eV per cell
* E_tot: -24.167 eV per atom


Entry 3:
HfGaHRu2 | SCAN | PBEsol geometry Values from VASP.

Cell and atoms, written as Quantum ESPRESSO input:
```
&SYSTEM
  ibrav = 0, nat = 5, ntyp = 4
/
ATOMIC_SPECIES
Ru 101.07 Ru.upf
Hf 178.49 Hf.upf
Ga 69.72 Ga.upf
H 1.01 H.upf
ATOMIC_POSITIONS angstrom
Ru 0.394 -1.944 0.366
Ru -0.015 -0.376 -1.982
Hf -1.868 -0.363 0.083
Ga -1.489 -2.683 -1.533
H 0.000 0.000 0.000
CELL_PARAMETERS angstrom
-3.735 -0.725 0.166
-0.030 -0.752 -3.963
0.788 -3.888 0.732
```

* N(E_F): 1.813 states/eV per cell
* E_tot: -30.825 eV per atom


Entry 4:
Ga2HPdI | SCAN | PBEsol geometry Values from VASP.

Cell and atoms, written as Quantum ESPRESSO input:
```
&SYSTEM
  ibrav = 0, nat = 5, ntyp = 4
/
ATOMIC_SPECIES
I 126.90 I.upf
H 1.01 H.upf
Ga 69.72 Ga.upf
Pd 106.42 Pd.upf
ATOMIC_POSITIONS angstrom
I 0.000 0.000 2.739
H 2.393 2.393 2.739
Ga 0.000 2.393 0.000
Ga 2.393 0.000 0.000
Pd 0.000 0.000 0.000
CELL_PARAMETERS angstrom
4.786 0.000 0.000
0.000 4.786 0.000
0.000 0.000 5.478
```

* N(E_F): 1.422 states/eV per cell
* energy above the lowest structure with this stoichiometry: 4 meV/atom
* E_tot: -20.780 eV per atom


Entry 5:
Ga2HPdI | SCAN | PBEsol geometry Values from VASP.

Cell and atoms, written as Quantum ESPRESSO input:
```
&SYSTEM
  ibrav = 0, nat = 5, ntyp = 4
/
ATOMIC_SPECIES
I 126.90 I.upf
H 1.01 H.upf
Ga 69.72 Ga.upf
Pd 106.42 Pd.upf
ATOMIC_POSITIONS angstrom
I 0.000 0.000 2.734
H 0.000 0.000 0.000
Ga 0.000 1.990 0.000
Ga 1.990 0.000 0.000
Pd 1.990 1.990 2.734
CELL_PARAMETERS angstrom
3.979 0.000 0.000
0.000 3.979 0.000
0.000 0.000 5.468
```

* N(E_F): 1.474 states/eV per cell
* energy above the lowest structure with this stoichiometry: 0 meV/atom
* E_tot: -20.784 eV per atom


Entry 6:
GaHWI2 | SCAN | PBEsol geometry Values from VASP.

Cell and atoms, written as Quantum ESPRESSO input:
```
&SYSTEM
  ibrav = 0, nat = 5, ntyp = 4
/
ATOMIC_SPECIES
I 126.90 I.upf
H 1.01 H.upf
Ga 69.72 Ga.upf
W 183.84 W.upf
ATOMIC_POSITIONS angstrom
I 0.000 0.000 2.632
I 0.000 2.632 0.000
H 0.000 0.000 0.000
Ga 1.773 2.632 2.632
W 1.773 0.000 0.000
CELL_PARAMETERS angstrom
3.546 0.000 0.000
0.000 5.264 0.000
0.000 0.000 5.264
```

* N(E_F): 2.700 states/eV per cell
* E_tot: -31.555 eV per atom


Entry 7:
InGaH2 | SCAN | PBEsol geometry Values from VASP.

Cell and atoms, written as Quantum ESPRESSO input:
```
&SYSTEM
  ibrav = 0, nat = 8, ntyp = 3
/
ATOMIC_SPECIES
H 1.01 H.upf
Ga 69.72 Ga.upf
In 114.82 In.upf
ATOMIC_POSITIONS angstrom
H 1.105 0.000 4.242
H -1.105 0.000 4.242
H 2.210 3.316 1.414
H 2.210 1.105 1.414
Ga 2.210 2.210 0.000
Ga 2.210 0.000 2.828
In 0.000 0.000 0.000
In 0.000 2.210 2.828
CELL_PARAMETERS angstrom
4.421 0.000 0.000
0.000 4.421 0.000
-2.210 -2.210 5.656
```

* N(E_F): 1.532 states/eV per cell
* E_tot: -13.770 eV per atom


Entry 8:
GaHIr3 | SCAN | PBEsol geometry Values from VASP.

Cell and atoms, written as Quantum ESPRESSO input:
```
&SYSTEM
  ibrav = 0, nat = 5, ntyp = 3
/
ATOMIC_SPECIES
H 1.01 H.upf
Ir 192.22 Ir.upf
Ga 69.72 Ga.upf
ATOMIC_POSITIONS angstrom
H 2.249 2.249 2.249
Ir 0.000 2.249 0.000
Ir 0.000 0.000 2.249
Ir 2.249 0.000 0.000
Ga 0.000 0.000 0.000
CELL_PARAMETERS angstrom
4.498 0.000 0.000
0.000 4.498 0.000
0.000 0.000 4.498
```

* N(E_F): 5.473 states/eV per cell
* E_tot: -44.389 eV per atom


Entry 9:
Ga2HIr | SCAN | PBEsol geometry Values from VASP.

Cell and atoms, written as Quantum ESPRESSO input:
```
&SYSTEM
  ibrav = 0, nat = 8, ntyp = 3
/
ATOMIC_SPECIES
H 1.01 H.upf
Ir 192.22 Ir.upf
Ga 69.72 Ga.upf
ATOMIC_POSITIONS angstrom
H -1.637 -0.566 3.051
H -1.254 -2.990 0.545
Ir 1.343 -1.892 2.632
Ir 0.000 0.000 0.000
Ga 0.020 -3.699 1.724
Ga -2.048 -2.015 1.935
Ga 1.533 1.430 3.596
Ga -0.093 -0.630 4.113
CELL_PARAMETERS angstrom
-4.234 -1.664 0.964
1.725 -4.316 0.126
2.214 3.524 4.595
```

* N(E_F): 2.789 states/eV per cell
* E_tot: -26.441 eV per atom


Entry 10:
KLaGa2H | SCAN | PBEsol geometry Values from VASP.

Cell and atoms, written as Quantum ESPRESSO input:
```
&SYSTEM
  ibrav = 0, nat = 5, ntyp = 4
/
ATOMIC_SPECIES
H 1.01 H.upf
K 39.10 K.upf
Ga 69.72 Ga.upf
La 138.91 La.upf
ATOMIC_POSITIONS angstrom
H -1.386 1.368 0.618
K 0.000 0.000 0.000
Ga 0.422 -0.769 2.647
Ga -2.005 -1.923 -0.239
La -2.969 -1.324 3.026
CELL_PARAMETERS angstrom
-2.772 2.737 1.237
-4.010 -3.846 -0.478
0.844 -1.538 5.294
```

* N(E_F): 3.653 states/eV per cell
* E_tot: -17.008 eV per atom


Entry 11:
La2GaH2 | SCAN | PBEsol geometry Values from VASP.

Cell and atoms, written as Quantum ESPRESSO input:
```
&SYSTEM
  ibrav = 0, nat = 5, ntyp = 3
/
ATOMIC_SPECIES
H 1.01 H.upf
Ga 69.72 Ga.upf
La 138.91 La.upf
ATOMIC_POSITIONS angstrom
H 3.668 -0.072 0.266
H 2.457 -0.081 2.736
Ga 0.000 0.000 0.000
La 3.710 1.711 1.825
La 2.414 -1.865 1.177
CELL_PARAMETERS angstrom
-0.262 -2.551 2.926
2.159 -2.533 -2.014
4.228 4.929 2.090
```

* N(E_F): 1.804 states/eV per cell
* E_tot: -22.602 eV per atom


Entry 12:
LaGa2H | SCAN | PBEsol geometry Values from VASP.

Cell and atoms, written as Quantum ESPRESSO input:
```
&SYSTEM
  ibrav = 0, nat = 4, ntyp = 3
/
ATOMIC_SPECIES
H 1.01 H.upf
Ga 69.72 Ga.upf
La 138.91 La.upf
ATOMIC_POSITIONS angstrom
H 0.000 0.000 0.000
Ga 2.420 1.397 0.988
Ga 7.259 4.191 2.964
La 4.839 2.794 1.976
CELL_PARAMETERS angstrom
4.839 0.000 0.000
2.420 4.191 0.000
2.420 1.397 3.951
```

* N(E_F): 1.334 states/eV per cell
* E_tot: -19.543 eV per atom


Entry 13:
LiGaH4 | SCAN | PBEsol geometry Values from VASP.

Cell and atoms, written as Quantum ESPRESSO input:
```
&SYSTEM
  ibrav = 0, nat = 12, ntyp = 3
/
ATOMIC_SPECIES
H 1.01 H.upf
Ga 69.72 Ga.upf
Li 6.94 Li.upf
ATOMIC_POSITIONS angstrom
H 1.318 3.115 3.384
H 3.001 1.560 2.780
H 1.318 3.115 5.861
H 3.001 1.560 0.302
H 3.550 3.630 4.623
H 3.339 3.825 1.541
H 0.769 1.045 1.541
H 0.981 0.849 4.623
Ga 0.573 3.803 4.623
Ga 3.746 0.872 1.541
Li 2.591 1.939 4.623
Li 1.729 2.736 1.541
CELL_PARAMETERS angstrom
4.520 0.157 0.000
-0.200 4.518 0.000
0.000 0.000 6.164
```

* N(E_F): 0.000 states/eV per cell
* E_tot: -5.569 eV per atom


Entry 14:
LiGa3H | SCAN | PBEsol geometry Values from VASP.

Cell and atoms, written as Quantum ESPRESSO input:
```
&SYSTEM
  ibrav = 0, nat = 5, ntyp = 3
/
ATOMIC_SPECIES
H 1.01 H.upf
Ga 69.72 Ga.upf
Li 6.94 Li.upf
ATOMIC_POSITIONS angstrom
H 0.000 0.000 0.000
Ga 0.000 2.082 0.000
Ga 0.000 0.000 2.082
Ga 2.082 0.000 0.000
Li 2.082 2.082 2.082
CELL_PARAMETERS angstrom
4.164 0.000 0.000
0.000 4.164 0.000
0.000 0.000 4.164
```

* N(E_F): 2.248 states/eV per cell
* E_tot: -10.819 eV per atom


Entry 15:
Li2TaGaH | SCAN | PBEsol geometry Values from VASP.

Cell and atoms, written as Quantum ESPRESSO input:
```
&SYSTEM
  ibrav = 0, nat = 5, ntyp = 4
/
ATOMIC_SPECIES
H 1.01 H.upf
Li 6.94 Li.upf
Ga 69.72 Ga.upf
Ta 180.95 Ta.upf
ATOMIC_POSITIONS angstrom
H 0.000 0.000 0.000
Li 1.418 -0.864 0.913
Li -1.241 -0.746 1.222
Ga 0.392 0.044 3.364
Ta 0.216 1.654 1.229
CELL_PARAMETERS angstrom
-2.483 -1.492 2.444
2.836 -1.728 1.826
0.432 3.307 2.458
```

* N(E_F): 1.627 states/eV per cell
* E_tot: -18.369 eV per atom


Entry 16:
MgGa2H | SCAN | PBEsol geometry Values from VASP.

Cell and atoms, written as Quantum ESPRESSO input:
```
&SYSTEM
  ibrav = 0, nat = 4, ntyp = 3
/
ATOMIC_SPECIES
H 1.01 H.upf
Mg 24.30 Mg.upf
Ga 69.72 Ga.upf
ATOMIC_POSITIONS angstrom
H 0.000 0.000 0.000
Mg 4.490 2.592 1.833
Ga 2.245 1.296 0.917
Ga 6.735 3.889 2.750
CELL_PARAMETERS angstrom
4.490 0.000 0.000
2.245 3.889 0.000
2.245 1.296 3.666
```

* N(E_F): 1.297 states/eV per cell
* E_tot: -9.797 eV per atom


Entry 17:
MgGaH5 | SCAN | PBEsol geometry Values from VASP.

Cell and atoms, written as Quantum ESPRESSO input:
```
&SYSTEM
  ibrav = 0, nat = 28, ntyp = 3
/
ATOMIC_SPECIES
Mg 24.30 Mg.upf
Ga 69.72 Ga.upf
H 1.01 H.upf
ATOMIC_POSITIONS angstrom
Mg 1.645 2.619 1.807
Mg 4.865 4.293 5.273
Mg 1.610 6.076 1.733
Mg 4.900 0.837 5.348
Ga 4.857 2.593 1.047
Ga 1.652 4.319 6.033
Ga 4.891 6.050 2.464
Ga 1.619 0.863 4.617
H 5.001 0.447 3.369
H 1.508 6.466 3.712
H 4.747 3.904 0.142
H 1.763 3.009 6.938
H 3.630 2.541 2.051
H 2.880 4.371 5.030
H 6.118 5.998 1.460
H 0.392 0.915 5.620
H 3.600 6.165 1.549
H 2.909 0.748 5.531
H 6.148 2.708 1.962
H 0.362 4.204 5.119
H 1.578 0.904 1.198
H 4.932 6.009 5.883
H 1.677 4.360 2.343
H 4.833 2.553 4.738
H 1.664 2.206 3.770
H 4.846 4.706 3.311
H 1.608 5.663 6.880
H 4.902 1.250 0.200
CELL_PARAMETERS angstrom
6.493 0.000 -0.029
0.000 6.913 0.000
0.017 0.000 7.109
```

* N(E_F): 0.000 states/eV per cell
* E_tot: -5.568 eV per atom


Entry 18:
MnGaH3 | SCAN | PBEsol geometry Values from VASP.

Cell and atoms, written as Quantum ESPRESSO input:
```
&SYSTEM
  ibrav = 0, nat = 5, ntyp = 3
/
ATOMIC_SPECIES
H 1.01 H.upf
Mn 54.94 Mn.upf
Ga 69.72 Ga.upf
ATOMIC_POSITIONS angstrom
H 0.000 1.792 0.000
H 0.000 0.000 1.792
H 1.792 0.000 0.000
Mn 1.792 1.792 1.792
Ga 0.000 0.000 0.000
CELL_PARAMETERS angstrom
3.585 0.000 0.000
0.000 3.585 0.000
0.000 0.000 3.585
```

* N(E_F): 1.886 states/eV per cell
* energy above the lowest structure with this stoichiometry: 247 meV/atom
* E_tot: -8.425 eV per atom


Entry 19:
Mn2GaH2 | SCAN | PBEsol geometry Values from VASP.

Cell and atoms, written as Quantum ESPRESSO input:
```
&SYSTEM
  ibrav = 0, nat = 5, ntyp = 3
/
ATOMIC_SPECIES
H 1.01 H.upf
Mn 54.94 Mn.upf
Ga 69.72 Ga.upf
ATOMIC_POSITIONS angstrom
H 0.191 -1.194 2.919
H -1.447 -0.171 2.803
Mn -0.160 0.191 3.955
Mn -1.096 -1.555 1.767
Ga 0.000 0.000 0.000
CELL_PARAMETERS angstrom
-2.664 -0.616 -0.078
0.611 -2.662 0.153
0.797 1.913 5.647
```

* N(E_F): 1.496 states/eV per cell
* E_tot: -12.135 eV per atom


Entry 20:
MnGaH3 | SCAN | PBEsol geometry Values from VASP.

Cell and atoms, written as Quantum ESPRESSO input:
```
&SYSTEM
  ibrav = 0, nat = 5, ntyp = 3
/
ATOMIC_SPECIES
H 1.01 H.upf
Mn 54.94 Mn.upf
Ga 69.72 Ga.upf
ATOMIC_POSITIONS angstrom
H 0.317 -1.601 0.080
H -0.532 -0.028 1.545
H -1.512 -0.326 -0.526
Mn 0.000 0.000 0.000
Ga -1.727 -1.955 1.099
CELL_PARAMETERS angstrom
-3.025 -0.652 -1.053
0.634 -3.202 0.161
-1.064 -0.056 3.090
```

* N(E_F): 1.325 states/eV per cell
* energy above the lowest structure with this stoichiometry: 0 meV/atom
* E_tot: -8.672 eV per atom


Entry 21:
MnGa2HRu | SCAN | PBEsol geometry Values from VASP.

Cell and atoms, written as Quantum ESPRESSO input:
```
&SYSTEM
  ibrav = 0, nat = 5, ntyp = 4
/
ATOMIC_SPECIES
Ru 101.07 Ru.upf
Mn 54.94 Mn.upf
Ga 69.72 Ga.upf
H 1.01 H.upf
ATOMIC_POSITIONS angstrom
Ru 1.591 2.076 2.076
Mn 1.591 0.000 0.000
Ga 0.000 0.000 2.076
Ga 0.000 2.076 0.000
H 0.000 0.000 0.000
CELL_PARAMETERS angstrom
3.181 0.000 0.000
0.000 4.153 0.000
0.000 0.000 4.153
```

* N(E_F): 2.185 states/eV per cell
* E_tot: -17.927 eV per atom


Entry 22:
GaMo2H2 | SCAN | PBEsol geometry Values from VASP.

Cell and atoms, written as Quantum ESPRESSO input:
```
&SYSTEM
  ibrav = 0, nat = 5, ntyp = 3
/
ATOMIC_SPECIES
H 1.01 H.upf
Mo 95.94 Mo.upf
Ga 69.72 Ga.upf
ATOMIC_POSITIONS angstrom
H 0.000 1.560 2.553
H 1.560 0.000 2.553
Mo 0.000 0.000 3.561
Mo 1.560 1.560 1.545
Ga 0.000 0.000 0.000
CELL_PARAMETERS angstrom
3.120 0.000 0.000
0.000 3.120 0.000
-1.560 -1.560 5.106
```

* N(E_F): 1.381 states/eV per cell
* E_tot: -18.591 eV per atom


Entry 23:
SrGa2MoH | SCAN | PBEsol geometry Values from VASP.

Cell and atoms, written as Quantum ESPRESSO input:
```
&SYSTEM
  ibrav = 0, nat = 5, ntyp = 4
/
ATOMIC_SPECIES
Sr 87.62 Sr.upf
Mo 95.94 Mo.upf
Ga 69.72 Ga.upf
H 1.01 H.upf
ATOMIC_POSITIONS angstrom
Sr 0.000 0.000 0.000
Mo -3.239 -0.889 2.641
Ga -1.949 1.637 0.970
Ga 0.001 -1.387 2.344
H -1.291 -1.138 -0.673
CELL_PARAMETERS angstrom
-2.582 -2.277 -1.346
0.002 -2.775 4.689
-3.898 3.274 1.940
```

* N(E_F): 2.861 states/eV per cell
* E_tot: -17.331 eV per atom


Entry 24:
NaGaH8N4 | SCAN | PBEsol geometry Values from VASP.

Cell and atoms, written as Quantum ESPRESSO input:
```
&SYSTEM
  ibrav = 0, nat = 56, ntyp = 4
/
ATOMIC_SPECIES
Na 22.99 Na.upf
Ga 69.72 Ga.upf
H 1.01 H.upf
N 14.01 N.upf
ATOMIC_POSITIONS angstrom
Na 3.919 1.933 8.957
Na 4.615 2.194 2.575
Na 1.074 4.659 10.746
Na 1.770 4.921 4.365
Ga 0.517 1.205 10.974
Ga 2.328 1.466 4.592
Ga 3.361 5.387 8.729
Ga 5.173 5.649 2.348
H 2.017 6.604 11.650
H 0.827 6.866 5.269
H 0.957 6.560 12.885
H 1.888 6.822 6.504
H 3.754 0.634 11.338
H 4.779 0.896 4.957
H 1.471 0.876 8.652
H 1.374 1.137 2.271
H 0.995 2.453 8.809
H 1.850 2.715 2.428
H 4.224 1.907 12.240
H 4.310 2.169 5.858
H 5.131 4.072 7.674
H 3.403 4.334 1.293
H 3.799 4.062 6.724
H 4.735 4.323 0.343
H 0.954 2.530 12.979
H 1.891 2.792 6.597
H 2.286 2.520 12.029
H 0.559 2.781 5.647
H 1.380 4.685 7.463
H 1.465 4.946 1.082
H 3.840 4.138 10.894
H 4.694 4.400 4.512
H 4.315 5.716 11.051
H 4.219 5.978 4.669
H 0.910 5.958 8.365
H 1.935 6.220 1.983
H 3.802 0.032 6.818
H 4.732 0.293 0.436
H 4.862 -0.013 8.053
H 3.672 0.249 1.672
N 1.025 6.776 11.882
N 1.819 7.038 5.500
N 0.783 1.491 9.102
N 2.061 1.753 2.721
N 4.321 1.491 11.304
N 4.213 1.753 4.922
N 1.265 2.651 12.007
N 1.580 2.913 5.625
N 4.110 3.941 7.696
N 4.424 4.203 1.315
N 1.476 5.101 8.399
N 1.369 5.362 2.018
N 3.628 5.101 10.601
N 4.906 5.362 4.219
N 3.870 -0.184 7.821
N 4.664 0.078 1.440
CELL_PARAMETERS angstrom
5.689 0.000 0.000
0.000 7.377 0.559
0.000 -0.523 12.763
```

* N(E_F): 0.000 states/eV per cell
* E_tot: -6.524 eV per atom